Entry 1:
ReAg2Pb | PBE-GGA | optimized geometry

Magnetization (μB/atom): 0.1420
DFT total energy (eV/atom): -4.58

Cell lengths 4.719, 4.719, 4.719 Å; angles 60.00, 60.00, 60.00 degrees
Atoms (fractional coordinates):
Re: 0.000 0.000 0.000
Ag: 0.250 0.250 0.250
Ag: 0.500 0.500 0.500
Pb: 0.750 0.750 0.750

=====

Entry 2:
DyTm6Ni2Se2 | PBE-GGA | optimized geometry

Magnetization (μB/atom): 0.0001
DFT total energy (eV/atom): -5.33

Cell lengths 8.972, 8.972, 8.972 Å; angles 155.78, 67.34, 118.24 degrees
Atoms (fractional coordinates):
Dy: 0.000 0.000 0.000
Tm: 0.065 0.381 0.684
Tm: 0.099 0.740 0.359
Tm: 0.382 0.740 0.641
Tm: 0.460 0.586 0.874
Tm: 0.698 0.381 0.316
Tm: 0.712 0.586 0.126
Ni: 0.315 0.076 0.239
Ni: 0.837 0.076 0.761
Se: 0.339 0.339 0.000
Se: 0.740 0.240 0.500

=====

Entry 3:
HoEr2Ga3AgIr2 | PBE-GGA | optimized geometry

Magnetization (μB/atom): 0.0008
DFT total energy (eV/atom): -5.54

Cell lengths 3.839, 7.287, 7.287 Å; angles 120.15, 90.00, 90.00 degrees
Atoms (fractional coordinates):
Ho: 0.000 0.000 0.000
Er: 0.000 0.180 0.590
Er: 0.000 0.590 0.180
Ga: 0.500 0.319 0.319
Ga: 0.500 0.590 0.862
Ga: 0.500 0.862 0.590
Ag: 0.000 0.589 0.589
Ir: 0.500 0.258 0.923
Ir: 0.500 0.923 0.258